The following is a GGA-PBE calculation of crystalline Ce2HoN3 at its relaxed geometry, from Alexandria via LeMat-Bulk.

As for the uncorrected formation energy: -151.1 kJ per mole of atoms. As for the crystal system: monoclinic. As for the space-group type: C2/m.

abc: 6.1094 6.1094 6.1168
angles: 99.57 99.57 120.00
Site moments in Bohr magnetons follow the coordinates.
Positions (direct):
Ce1 0.8333 0.1667 0.5000  0.22
Ce2 0.3333 0.6667 0.0000  0.17
Ce3 0.1664 0.8336 0.5000  0.21
Ce4 0.5003 0.4997 0.5000  0.21
Ho1 0.9999 0.0001 0.0000  0.02
Ho2 0.6668 0.3332 0.0000  0.02
N1 0.5873 0.9207 0.7553  -0.01
N2 0.0793 0.4127 0.2447  -0.01
N3 0.9155 0.5845 0.7536  -0.01
N4 0.2511 0.2488 0.7536  -0.01
N5 0.4155 0.0845 0.2464  -0.01
N6 0.7512 0.7489 0.2464  -0.01

The following is a GGA-PBE calculation of crystalline Rb3Na3MgI8 at its relaxed geometry, from Alexandria via LeMat-Bulk.

As for the uncorrected formation energy: -124.6 kJ per mole of atoms. As for the crystal system: trigonal. As for the space-group type: R-3m.

abc: 9.4498 9.4548 10.1113
angles: 117.91 90.00 119.98
Positions (direct):
Rb1 0.0000 0.0000 0.0000
Rb2 0.0000 0.5000 0.0000
Rb3 0.5000 0.5000 0.0000
Na1 0.5000 0.0000 0.5000
Na2 0.5000 0.5000 0.5000
Na3 0.0000 0.5000 0.5000
Mg1 0.0000 0.0000 0.5000
I1 0.2622 0.5243 0.2868
I2 0.7378 0.4757 0.7132
I3 0.7818 0.5637 0.3024
I4 0.2182 0.4363 0.6976
I5 0.7816 0.0205 0.3024
I6 0.2184 0.9795 0.6976
I7 0.2388 0.0205 0.3024
I8 0.7612 0.9795 0.6976

The following is a GGA-PBE calculation of crystalline Y3Zr4 at its relaxed geometry, from Alexandria via LeMat-Bulk.

As for the offset from the most stable computed form: 0.0 meV/atom. As for the crystal system: tetragonal. The energy of formation is 0.76 eV/f.u. As for the space-group type: I4/mmm.

abc: 13.2060 13.2060 13.2060
angles: 163.32 163.32 23.67
Positions (direct):
Y1 0.0000 0.0000 0.0000
Y2 0.7025 0.7025 0.0000
Y3 0.2975 0.2975 0.0000
Zr1 0.8728 0.8728 0.0000
Zr2 0.5781 0.5781 0.0000
Zr3 0.4219 0.4219 0.0000
Zr4 0.1272 0.1272 0.0000

The following is a GGA-PBE calculation of crystalline Rb2AsAu2 at its relaxed geometry, from Alexandria via LeMat-Bulk.

As for the offset from the most stable computed form: 0.0 meV/atom. As for the crystal system: orthorhombic. The energy of formation is -1.46 eV/f.u. As for the space-group type: Immm.

abc: 4.7451 5.6445 6.6971
angles: 114.92 110.75 90.00
Positions (direct):
Rb1 0.2004 0.7005 0.4009
Rb2 0.7996 0.2995 0.5991
As1 0.0000 0.0000 0.0000
Au1 0.5000 0.7456 0.0000
Au2 0.5000 0.2544 0.0000

Respective N(E_F) values: 0.820 0.000 1.494 0.371 states/eV/atom.